Version a
# La2UN3 | Alexandria | GGA-PBE | optimized geometry
# Total moment = 0.127 μB/atom
data_La2UN3
_cell_length_a 6.350
_cell_length_b 10.838
_cell_length_c 6.191
_cell_angle_alpha 90.00
_cell_angle_beta 109.17
_cell_angle_gamma 90.00
_symmetry_space_group_name_H-M 'C 1 2/c 1'
_symmetry_Int_Tables_number 15
loop_
_symmetry_equiv_pos_as_xyz
'x,y,z'
'-x,-y,-z'
'-x,y,-z+1/2'
'x,-y,z+1/2'
'x+1/2,y+1/2,z'
'-x+1/2,-y+1/2,-z'
'-x+1/2,y+1/2,-z+1/2'
'x+1/2,-y+1/2,z+1/2'
loop_
_atom_site_label
_atom_site_type_symbol
_atom_site_fract_x
_atom_site_fract_y
_atom_site_fract_z
La1 La 0.000 0.085 0.250
La2 La 0.000 0.246 0.750
U1 U 0.000 0.417 0.250
N1 N 0.196 0.432 0.000
N2 N 0.250 0.250 0.500

---

Version b
# La2UN3 | Alexandria | GGA-PBE | optimized geometry
# Total moment = 0.480 μB/atom
data_La2UN3
_cell_length_a 10.417
_cell_length_b 6.664
_cell_length_c 6.323
_cell_angle_alpha 90.00
_cell_angle_beta 90.08
_cell_angle_gamma 90.00
_symmetry_space_group_name_H-M 'C 1 2/c 1'
_symmetry_Int_Tables_number 15
loop_
_symmetry_equiv_pos_as_xyz
'x,y,z'
'-x,-y,-z'
'-x,y,-z+1/2'
'x,-y,z+1/2'
'x+1/2,y+1/2,z'
'-x+1/2,-y+1/2,-z'
'-x+1/2,y+1/2,-z+1/2'
'x+1/2,-y+1/2,z+1/2'
loop_
_atom_site_label
_atom_site_type_symbol
_atom_site_fract_x
_atom_site_fract_y
_atom_site_fract_z
La1 La 0.171 0.161 0.250
U1 U 0.000 0.391 0.750
N1 N 0.000 0.079 0.750
N2 N 0.154 0.500 0.000

---

version a is the most stable structure; the next one sits 0.196 eV/atom above it.

---

Version a
# ZnInTc2 | Alexandria | GGA-PBE | optimized geometry
# Total moment = 0.000 μB/atom
data_ZnInTc2
_cell_length_a 3.897
_cell_length_b 3.897
_cell_length_c 19.117
_cell_angle_alpha 90.00
_cell_angle_beta 90.00
_cell_angle_gamma 90.00
_symmetry_space_group_name_H-M 'I -4 2 d'
_symmetry_Int_Tables_number 122
_symmetry_space_group_name_Hall 'I -4 2bw'
loop_
_atom_site_label
_atom_site_type_symbol
_atom_site_fract_x
_atom_site_fract_y
_atom_site_fract_z
Zn1 Zn 0.000 0.000 0.000
In1 In 0.000 0.000 0.500
Tc1 Tc 0.176 0.250 0.125

---

Version b
# ZnInTc2 | Alexandria | GGA-PBE | optimized geometry
# Total moment = 0.408 μB/atom
data_ZnInTc2
_cell_length_a 6.345
_cell_length_b 6.345
_cell_length_c 6.345
_cell_angle_alpha 90.00
_cell_angle_beta 90.00
_cell_angle_gamma 90.00
_symmetry_space_group_name_H-M 'F m -3 m'
_symmetry_Int_Tables_number 225
_symmetry_space_group_name_Hall '-F 4 2 3'
loop_
_atom_site_label
_atom_site_type_symbol
_atom_site_fract_x
_atom_site_fract_y
_atom_site_fract_z
Zn1 Zn 0.000 0.000 0.000
In1 In 0.000 0.000 0.500
Tc1 Tc 0.250 0.250 0.250

---

version b is the most stable structure; the next one sits 0.077 eV/atom above it.

---

Version a
# BeCoB2 | Alexandria | GGA-PBE | optimized geometry
# Total moment = 0.000 μB/atom
data_BeCoB2
_cell_length_a 5.590
_cell_length_b 5.590
_cell_length_c 4.092
_cell_angle_alpha 90.00
_cell_angle_beta 90.00
_cell_angle_gamma 90.00
_symmetry_space_group_name_H-M 'I -4 2 d'
_symmetry_Int_Tables_number 122
_symmetry_space_group_name_Hall 'I -4 2bw'
loop_
_atom_site_label
_atom_site_type_symbol
_atom_site_fract_x
_atom_site_fract_y
_atom_site_fract_z
Be1 Be 0.000 0.000 0.000
Co1 Co 0.000 0.000 0.500
B1 B 0.249 0.750 0.625

---

Version b
# BeCoB2 | Alexandria | GGA-PBE | optimized geometry
# Total moment = 0.000 μB/atom
data_BeCoB2
_cell_length_a 3.2148
_cell_length_b 3.2148
_cell_length_c 9.7411
_cell_angle_alpha 90.00
_cell_angle_beta 90.00
_cell_angle_gamma 120.00
_symmetry_space_group_name_H-M 'R -3 m'
_symmetry_Int_Tables_number 166
_symmetry_space_group_name_Hall '-R 3 2"'
loop_
_atom_site_label
_atom_site_type_symbol
_atom_site_fract_x
_atom_site_fract_y
_atom_site_fract_z
Be1 Be 0.0000 0.0000 0.0000
Co1 Co 0.0000 0.0000 0.5000
B1 B 0.0000 0.0000 0.2895

---

version b is the most stable structure; the next one sits 0.570 eV/atom above it.